# Si3Ni2

Si3Ni2 after structural relaxation (PBE-GGA, Alexandria).

Results
- Density of states at the Fermi level: 0.524 states/eV/atom
- Calculated density: 5.211 g/cm³
- Raw formation energy: -229 meV per atom

Cell: 3.848 3.848 5.011 Å, 90.00 90.00 120.00°
Atoms (fractional coordinates):
Ni: 0.667 0.333 0.183
Ni: 0.333 0.667 0.817
Si: 0.000 0.000 0.000
Si: 0.333 0.667 0.354
Si: 0.667 0.333 0.646